Arrangement P

TlNi2Ge: optimized geometry, PBE.

Computed properties:
For the total magnetic moment, the calculation gives 0.00 Bohr magnetons per cell. Its space-group type is I-42d, No. 122. As for the calculated density: 9644 kg/m3.

abc: 5.6474 5.6474 5.6474
angles: 104.99 104.99 118.87
Closest atoms and distances in Å follow each position.
Element x y z (fractional)
Tl (0.0000, 0.0000, 0.0000)  8 Ni 2.78-3.08, 2 Ge 2.87
Tl (0.7500, 0.2500, 0.5000)  8 Ni 2.78-3.08, 2 Ge 2.87
Ni (0.1744, 0.6250, 0.0494)  2 Ge 2.32
Ni (0.3750, 0.4244, 0.5494)  2 Ge 2.32
Ni (0.5756, 0.1250, 0.9506)  2 Ge 2.32
Ni (0.8750, 0.8256, 0.4506)  2 Ge 2.32
Ge (0.2500, 0.7500, 0.5000)  4 Ni 2.32
Ge (0.5000, 0.5000, 0.0000)  4 Ni 2.32

Arrangement Q

TlNi2Ge: optimized geometry, PBE.

Computed properties:
For the total magnetic moment, the calculation gives 0.00 Bohr magnetons per cell. Its space-group type is Fm-3m, No. 225. As for the calculated density: 10772 kg/m3.

abc: 4.4137 4.4137 4.4137
angles: 60.00 60.00 60.00
Closest atoms and distances in Å follow each position.
Element x y z (fractional)
Tl (0.0000, 0.0000, 0.0000)  8 Ni 2.70
Ni (0.2500, 0.2500, 0.2500)  4 Ge 2.70, 4 Tl 2.70
Ni (0.7500, 0.7500, 0.7500)  4 Ge 2.70, 4 Tl 2.70
Ge (0.5000, 0.5000, 0.5000)  8 Ni 2.70

Tell me which of them is the most stable. Sure, it is arrangement Q.